A relaxed structure of PIrRhS2, computed with GGA-PBE.

abc: 4.7232 4.7232 4.4041
angles: 90.00 90.00 90.00
Element x y z (fractional)
1 P 0.0000 0.0000 0.0000
2 Ir 0.0000 0.0000 0.5000
3 Rh 0.5000 0.5000 0.0000
4 S 0.0000 0.5000 0.5000
5 S 0.5000 0.0000 0.5000

Properties
For the density of states at the Fermi level, the calculation gives 1.277 states/eV/atom. As for the uncorrected energy: -5.013 eV per atom. The total magnetic moment comes out at 0.9 μB/f.u. The uncorrected formation energy is 0.962 eV/atom. Its space-group type is P4/mmm (123). Its polymorph energy (0 for the lowest one) is 0 meV/atom.